# BaSr2CaNi GGA-PBE optimized geometry
# Energy above the lowest structure with this stoichiometry in meV per atom: 18.6
data_BaSr2CaNi
_chemical_formula_sum 'Ba1 Sr2 Ca1 Ni1'
_symmetry_space_group_name_H-M 'P 4/m m m'
_symmetry_Int_Tables_number 123
_symmetry_space_group_name_Hall '-P 4 2'
_cell_length_a 5.9844
_cell_length_b 5.9844
_cell_length_c 6.1035
_cell_angle_alpha 90.00
_cell_angle_beta 90.00
_cell_angle_gamma 90.00
loop_
_atom_site_label
_atom_site_type_symbol
_atom_site_fract_x
_atom_site_fract_y
_atom_site_fract_z
Ba1 Ba 0.0000 0.0000 0.0000
Sr1 Sr 0.0000 0.5000 0.5000
Ca1 Ca 0.5000 0.5000 0.0000
Ni1 Ni 0.0000 0.0000 0.5000


# BaSr2CaNi GGA-PBE optimized geometry
# Energy above the lowest structure with this stoichiometry in meV per atom: 0.0
data_BaSr2CaNi
_chemical_formula_sum 'Ba1 Sr2 Ca1 Ni1'
_symmetry_space_group_name_H-M 'P 4/m m m'
_symmetry_Int_Tables_number 123
_symmetry_space_group_name_Hall '-P 4 2'
_cell_length_a 6.0190
_cell_length_b 6.0190
_cell_length_c 5.8025
_cell_angle_alpha 90.00
_cell_angle_beta 90.00
_cell_angle_gamma 90.00
loop_
_atom_site_label
_atom_site_type_symbol
_atom_site_fract_x
_atom_site_fract_y
_atom_site_fract_z
Ba1 Ba 0.0000 0.0000 0.0000
Sr1 Sr 0.0000 0.5000 0.5000
Ca1 Ca 0.5000 0.5000 0.0000
Ni1 Ni 0.5000 0.5000 0.5000


# Ba2SrCaNi GGA-PBE optimized geometry
# Energy above the lowest structure with this stoichiometry in meV per atom: 0.0
data_Ba2SrCaNi
_chemical_formula_sum 'Ba2 Sr1 Ca1 Ni1'
_symmetry_space_group_name_H-M 'P 4/m m m'
_symmetry_Int_Tables_number 123
_symmetry_space_group_name_Hall '-P 4 2'
_cell_length_a 6.2155
_cell_length_b 6.2155
_cell_length_c 5.8052
_cell_angle_alpha 90.00
_cell_angle_beta 90.00
_cell_angle_gamma 90.00
loop_
_atom_site_label
_atom_site_type_symbol
_atom_site_fract_x
_atom_site_fract_y
_atom_site_fract_z
Ba1 Ba 0.0000 0.5000 0.0000
Sr1 Sr 0.0000 0.0000 0.5000
Ca1 Ca 0.5000 0.5000 0.5000
Ni1 Ni 0.5000 0.5000 0.0000


# Ba2SrCaNi GGA-PBE optimized geometry
# Energy above the lowest structure with this stoichiometry in meV per atom: 17.2
data_Ba2SrCaNi
_chemical_formula_sum 'Ba2 Sr1 Ca1 Ni1'
_symmetry_space_group_name_H-M 'P 4/m m m'
_symmetry_Int_Tables_number 123
_symmetry_space_group_name_Hall '-P 4 2'
_cell_length_a 6.1657
_cell_length_b 6.1657
_cell_length_c 6.0270
_cell_angle_alpha 90.00
_cell_angle_beta 90.00
_cell_angle_gamma 90.00
loop_
_atom_site_label
_atom_site_type_symbol
_atom_site_fract_x
_atom_site_fract_y
_atom_site_fract_z
Ba1 Ba 0.0000 0.5000 0.0000
Sr1 Sr 0.0000 0.0000 0.5000
Ca1 Ca 0.5000 0.5000 0.5000
Ni1 Ni 0.0000 0.0000 0.0000


# BaCa2TlNi GGA-PBE optimized geometry
# Energy above the lowest structure with this stoichiometry in meV per atom: 0.0
data_BaCa2TlNi
_chemical_formula_sum 'Ba1 Ca2 Tl1 Ni1'
_symmetry_space_group_name_H-M 'P 4/m m m'
_symmetry_Int_Tables_number 123
_symmetry_space_group_name_Hall '-P 4 2'
_cell_length_a 5.5207
_cell_length_b 5.5207
_cell_length_c 5.2492
_cell_angle_alpha 90.00
_cell_angle_beta 90.00
_cell_angle_gamma 90.00
loop_
_atom_site_label
_atom_site_type_symbol
_atom_site_fract_x
_atom_site_fract_y
_atom_site_fract_z
Ba1 Ba 0.0000 0.0000 0.0000
Ca1 Ca 0.0000 0.5000 0.5000
Tl1 Tl 0.5000 0.5000 0.0000
Ni1 Ni 0.5000 0.5000 0.5000


# Ba2CaTlNi GGA-PBE optimized geometry
# Energy above the lowest structure with this stoichiometry in meV per atom: 0.0
data_Ba2CaTlNi
_chemical_formula_sum 'Ba2 Ca1 Tl1 Ni1'
_symmetry_space_group_name_H-M 'P 4/m m m'
_symmetry_Int_Tables_number 123
_symmetry_space_group_name_Hall '-P 4 2'
_cell_length_a 5.9897
_cell_length_b 5.9897
_cell_length_c 5.4720
_cell_angle_alpha 90.00
_cell_angle_beta 90.00
_cell_angle_gamma 90.00
loop_
_atom_site_label
_atom_site_type_symbol
_atom_site_fract_x
_atom_site_fract_y
_atom_site_fract_z
Ba1 Ba 0.0000 0.5000 0.0000
Ca1 Ca 0.0000 0.0000 0.5000
Tl1 Tl 0.5000 0.5000 0.5000
Ni1 Ni 0.0000 0.0000 0.0000


# BaCa2TlNi GGA-PBE optimized geometry
# Energy above the lowest structure with this stoichiometry in meV per atom: 43.4
data_BaCa2TlNi
_chemical_formula_sum 'Ba1 Ca2 Tl1 Ni1'
_symmetry_space_group_name_H-M 'P 4/m m m'
_symmetry_Int_Tables_number 123
_symmetry_space_group_name_Hall '-P 4 2'
_cell_length_a 5.5127
_cell_length_b 5.5127
_cell_length_c 5.8640
_cell_angle_alpha 90.00
_cell_angle_beta 90.00
_cell_angle_gamma 90.00
loop_
_atom_site_label
_atom_site_type_symbol
_atom_site_fract_x
_atom_site_fract_y
_atom_site_fract_z
Ba1 Ba 0.0000 0.0000 0.0000
Ca1 Ca 0.0000 0.5000 0.5000
Tl1 Tl 0.5000 0.5000 0.0000
Ni1 Ni 0.0000 0.0000 0.5000


# Ba2CaTlNi GGA-PBE optimized geometry
# Energy above the lowest structure with this stoichiometry in meV per atom: 46.5
data_Ba2CaTlNi
_chemical_formula_sum 'Ba2 Ca1 Tl1 Ni1'
_symmetry_space_group_name_H-M 'P 4/m m m'
_symmetry_Int_Tables_number 123
_symmetry_space_group_name_Hall '-P 4 2'
_cell_length_a 6.0881
_cell_length_b 6.0881
_cell_length_c 5.1830
_cell_angle_alpha 90.00
_cell_angle_beta 90.00
_cell_angle_gamma 90.00
loop_
_atom_site_label
_atom_site_type_symbol
_atom_site_fract_x
_atom_site_fract_y
_atom_site_fract_z
Ba1 Ba 0.0000 0.5000 0.0000
Ca1 Ca 0.0000 0.0000 0.5000
Tl1 Tl 0.5000 0.5000 0.5000
Ni1 Ni 0.5000 0.5000 0.0000


Which DFT formation energy belongs to each record? In order, 0.017, -0.002, 0.008, 0.026, -0.125, -0.070, -0.081, -0.023 eV/atom.